[1]
Density functional theory data (PBEsol) for crystalline PtWCl at its relaxed geometry.

- Symmetry: P3m1
- Energy above the most stable polymorph in this dataset: 0 meV per atom

The structure in POSCAR format:
```
PtWCl
1.0
2.8923 0.0000 0.0000
-1.4461 2.5048 0.0000
0.0000 0.0000 6.5466
Pt W Cl
1 1 1
direct
0.0000 0.0000 0.0000
0.6667 0.3333 0.6804
0.3333 0.6667 0.3967
```

***

[2]
Density functional theory data (PBEsol) for crystalline CaZrCd at its relaxed geometry.

- DFT formation energy: 0.04 eV per atom
- Symmetry: I4mm
- Energy above the most stable polymorph in this dataset: 0 meV per atom

The structure in POSCAR format:
```
CaZrCd
1.0
3.3039 0.0000 0.0000
0.0000 3.3039 0.0000
0.0000 0.0000 13.6513
Ca Zr Cd
2 2 2
direct
0.0000 0.0000 0.0000
0.5000 0.5000 0.5000
0.0000 0.0000 0.6911
0.5000 0.5000 0.1911
0.0000 0.0000 0.3312
0.5000 0.5000 0.8312
```

***

[3]
Density functional theory data (PBEsol) for crystalline BaY2Tc at its relaxed geometry.

- DFT formation energy: 0.67 eV per atom
- Symmetry: F-43m
- Energy above the most stable polymorph in this dataset: 177 meV per atom

The structure in POSCAR format:
```
BaY2Tc
1.0
7.4450 0.0000 0.0000
0.0000 7.4450 0.0000
0.0000 0.0000 7.4450
Ba Y Tc
4 8 4
direct
0.0000 0.0000 0.0000
0.0000 0.5000 0.5000
0.5000 0.0000 0.5000
0.5000 0.5000 0.0000
0.0000 0.0000 0.5000
0.0000 0.5000 0.0000
0.2500 0.2500 0.2500
0.2500 0.7500 0.7500
0.5000 0.0000 0.0000
0.5000 0.5000 0.5000
0.7500 0.2500 0.7500
0.7500 0.7500 0.2500
0.2500 0.2500 0.7500
0.2500 0.7500 0.2500
0.7500 0.2500 0.2500
0.7500 0.7500 0.7500
```

***

[4]
Density functional theory data (PBEsol) for crystalline Y2InPb at its relaxed geometry.

- DFT formation energy: -0.54 eV per atom
- Symmetry: Imm2

The structure in POSCAR format:
```
Y2InPb
1.0
4.1597 0.0000 0.0000
0.0000 4.7101 0.0000
0.0000 0.0000 10.8249
Y In Pb
4 2 2
direct
0.0000 0.0000 0.0000
0.0000 0.5000 0.2441
0.5000 0.0000 0.7441
0.5000 0.5000 0.5000
0.0000 0.5000 0.7592
0.5000 0.0000 0.2592
0.0000 0.0000 0.4840
0.5000 0.5000 0.9840
```

***

[5]
Density functional theory data (PBEsol) for crystalline KNaNbOF5 at its relaxed geometry.

- Symmetry: Pna2_1
- Uncorrected energy: -218.625 eV for the cell shown

The structure in POSCAR format:
```
KNaNbOF5
1.0
11.9404 0.0000 0.0000
0.0000 5.8811 0.0000
0.0000 0.0000 8.1803
K Na Nb O F
4 4 4 4 20
direct
0.0411 0.0324 0.0000
0.4589 0.5324 0.5000
0.5411 0.4676 0.0000
0.9589 0.9676 0.5000
0.1376 0.5498 0.2450
0.3624 0.0498 0.7450
0.6376 0.9502 0.2450
0.8624 0.4502 0.7450
0.1511 0.5414 0.7377
0.3489 0.0414 0.2377
0.6511 0.9586 0.7377
0.8489 0.4586 0.2377
0.2212 0.9004 0.1928
0.2788 0.4004 0.6928
0.7212 0.5996 0.1928
0.7788 0.0996 0.6928
0.0030 0.2817 0.2754
0.0455 0.2837 0.7032
0.1246 0.6512 0.5134
0.1408 0.4592 0.9714
0.2117 0.8379 0.8035
0.2883 0.3379 0.3035
0.3592 0.9592 0.4714
0.3754 0.1512 0.0134
0.4545 0.7837 0.2032
0.4970 0.7817 0.7754
0.5030 0.2183 0.2754
0.5455 0.2163 0.7032
0.6246 0.8488 0.5134
0.6408 0.0408 0.9714
0.7117 0.6621 0.8035
0.7883 0.1621 0.3035
0.8592 0.5408 0.4714
0.8754 0.3488 0.0134
0.9545 0.7163 0.2032
0.9970 0.7183 0.7754
```

***

[6]
Density functional theory data (PBEsol) for crystalline LaFe2Pb at its relaxed geometry.

- DFT formation energy: 0.14 eV per atom
- Symmetry: Amm2

The structure in POSCAR format:
```
LaFe2Pb
1.0
3.8537 0.0000 0.0000
0.0000 4.2090 0.0000
0.0000 0.0000 9.5792
La Fe Pb
2 4 2
direct
0.0000 0.0000 0.0000
0.0000 0.5000 0.5000
0.0000 0.0000 0.2872
0.0000 0.5000 0.7872
0.5000 0.0000 0.4091
0.5000 0.5000 0.9091
0.5000 0.0000 0.7070
0.5000 0.5000 0.2070
```

***

[7]
Density functional theory data (PBEsol) for crystalline SrF3 at its relaxed geometry.

- Symmetry: P2_1/m
- Uncorrected energy: -38.347 eV for the cell shown

The structure in POSCAR format:
```
SrF3
1.0
4.3622 0.0000 0.0000
0.0000 4.0537 0.0000
-0.9885 0.0000 6.3663
Sr F
2 6
direct
0.2116 0.2500 0.2923
0.7884 0.7500 0.7077
0.0971 0.2500 0.8905
0.2466 0.7500 0.5284
0.4822 0.7500 0.1681
0.5178 0.2500 0.8319
0.7534 0.2500 0.4716
0.9029 0.7500 0.1095
```

***

[8]
Density functional theory data (PBEsol) for crystalline ScGaIN2 at its relaxed geometry.

- Symmetry: P4/mmm
- Uncorrected energy: -25.173 eV for the cell shown

The structure in POSCAR format:
```
ScGaIN2
1.0
3.9540 0.0000 0.0000
0.0000 3.9540 0.0000
0.0000 0.0000 5.3569
Sc Ga I N
1 1 1 2
direct
0.0000 0.0000 0.0000
0.5000 0.5000 0.5000
0.5000 0.5000 0.0000
0.0000 0.5000 0.5000
0.5000 0.0000 0.5000
```

***

[9]
Density functional theory data (PBEsol) for crystalline Sc3MnH at its relaxed geometry.

- Symmetry: Pm-3m
- Uncorrected energy: -29.364 eV for the cell shown

The structure in POSCAR format:
```
Sc3MnH
1.0
4.7428 0.0000 0.0000
0.0000 4.7428 0.0000
0.0000 0.0000 4.7428
Sc Mn H
3 1 1
direct
0.0000 0.0000 0.5000
0.0000 0.5000 0.0000
0.5000 0.0000 0.0000
0.0000 0.0000 0.0000
0.5000 0.5000 0.5000
```

***

[10]
Density functional theory data (PBEsol) for crystalline InIrPb2 at its relaxed geometry.

- DFT formation energy: 0.47 eV per atom
- Symmetry: P4/mmm

The structure in POSCAR format:
```
InIrPb2
1.0
4.5387 0.0000 0.0000
0.0000 4.5387 0.0000
0.0000 0.0000 4.3436
In Ir Pb
1 1 2
direct
0.0000 0.0000 0.0000
0.5000 0.5000 0.0000
0.0000 0.5000 0.5000
0.5000 0.0000 0.5000
```

***

[11]
Density functional theory data (PBEsol) for crystalline LiSi2Hg at its relaxed geometry.

- Symmetry: Pmmm
- Uncorrected energy: -13.267 eV for the cell shown

The structure in POSCAR format:
```
LiSi2Hg
1.0
2.8071 0.0000 0.0000
0.0000 4.6728 0.0000
0.0000 0.0000 5.2064
Li Si Hg
1 2 1
direct
0.0000 0.0000 0.0000
0.5000 0.5000 0.2365
0.5000 0.5000 0.7635
0.0000 0.0000 0.5000
```

***

[12]
Density functional theory data (PBEsol) for crystalline InNi2C at its relaxed geometry.

- DFT formation energy: 1.10 eV per atom
- Symmetry: Fm-3m

The structure in POSCAR format:
```
InNi2C
1.0
5.7346 0.0000 0.0000
0.0000 5.7346 0.0000
0.0000 0.0000 5.7346
In Ni C
4 8 4
direct
0.0000 0.0000 0.0000
0.0000 0.5000 0.5000
0.5000 0.0000 0.5000
0.5000 0.5000 0.0000
0.2500 0.2500 0.2500
0.2500 0.2500 0.7500
0.2500 0.7500 0.2500
0.2500 0.7500 0.7500
0.7500 0.2500 0.2500
0.7500 0.2500 0.7500
0.7500 0.7500 0.2500
0.7500 0.7500 0.7500
0.0000 0.0000 0.5000
0.0000 0.5000 0.0000
0.5000 0.0000 0.0000
0.5000 0.5000 0.5000
```